#a
The following is a PBE-GGA calculation of a geometry-optimized La2TlRu structure, from Alexandria via LeMat-Bulk.

Cell: 8.3527 8.3527 6.7326 Å, 51.66 51.66 90.00°
With the nearest neighbours (Å) after each atom.
Fractional positions:
Ru (0.2500, 0.7500, 0.5000)  4 La 2.71
Tl (0.0000, 0.0000, 0.0000)  2 Ru 3.23, 8 La 3.48-3.54
La (0.3750, 0.4432, 0.7500)  2 Ru 2.71
Tl (0.7500, 0.2500, 0.5000)  2 Ru 3.23, 8 La 3.48-3.54
La (0.8750, 0.8068, 0.7500)  2 Ru 2.71
Ru (0.5000, 0.5000, 0.0000)  4 La 2.71
La (0.1932, 0.6250, 0.2500)  2 Ru 2.71
La (0.5568, 0.1250, 0.2500)  2 Ru 2.71

Calculated values
Crystal system: tetragonal

#b
The following is a PBE-GGA calculation of a geometry-optimized La2TlRu structure, from Alexandria via LeMat-Bulk.

Cell: 4.0953 4.0953 8.7510 Å, 76.59 76.59 59.87°
With the nearest neighbours (Å) after each atom.
Fractional positions:
Tl (0.7500, 0.7500, 0.7500)  6 La 3.54
La (0.9789, 0.9789, 0.0625)  3 Ru 2.84
Ru (0.2500, 0.2500, 0.2500)  6 La 2.84
La (0.5211, 0.5211, 0.4375)  3 Ru 2.84

Calculated values
Crystal system: monoclinic

#c
The following is a PBE-GGA calculation of a geometry-optimized La2TlRu structure, from Alexandria via LeMat-Bulk.

Cell: 5.7853 5.7853 5.7853 Å, 137.25 120.98 75.58°
With the nearest neighbours (Å) after each atom.
Fractional positions:
La (0.9500, 0.9500, 0.0000)  2 Ru 2.79
Tl (0.2500, 0.7500, 0.5000)  8 La 3.39-3.46, 4 Ru 3.54
La (0.5500, 0.5500, 0.0000)  2 Ru 2.79
Ru (0.7500, 0.2500, 0.5000)  4 La 2.79

Calculated values
Crystal system: orthorhombic

#d
The following is a PBE-GGA calculation of a geometry-optimized La2TlRu structure, from Alexandria via LeMat-Bulk.

Cell: 5.5463 6.6475 13.2421 Å, 100.81 90.00 90.00°
With the nearest neighbours (Å) after each atom.
Fractional positions:
Ru (0.2500, 0.4689, 0.6261)  1 La 2.41
Tl (0.7500, 0.8823, 0.5402)  1 Ru 2.89
La (0.2500, 0.5911, 0.4048)  2 Ru 2.82
La (0.2500, 0.5275, 0.8110)  1 Ru 2.41
Ru (0.7500, 0.5311, 0.3739)  1 La 2.41
La (0.7500, 0.4089, 0.5952)  2 Ru 2.82
La (0.2500, 0.9089, 0.0952)  2 Ru 2.82
Tl (0.2500, 0.1177, 0.4598)  1 Ru 2.89
La (0.7500, 0.0911, 0.9048)  2 Ru 2.82
Ru (0.2500, 0.0311, 0.8739)  1 La 2.41
Tl (0.2500, 0.3823, 0.0402)  1 Ru 2.89
Tl (0.7500, 0.6177, 0.9598)  1 Ru 2.89
La (0.2500, 0.9725, 0.6890)  1 Ru 2.41
Ru (0.7500, 0.9689, 0.1261)  1 La 2.41
La (0.7500, 0.4725, 0.1890)  1 Ru 2.41
La (0.7500, 0.0275, 0.3110)  1 Ru 2.41

Calculated values
Crystal system: monoclinic

Which is most stable, and by how much? #d, by 50 meV/atom.

#a
The following is a PBE-GGA calculation of a geometry-optimized La2TlRu structure, from Alexandria via LeMat-Bulk.

Cell: 4.1466 4.1466 8.6402 Å, 76.12 76.12 60.00°
With the nearest neighbours (Å) after each atom.
Fractional positions:
La (0.0623, 0.0623, 0.8130)  3 Ru 2.86
Tl (0.5003, 0.5003, 0.4990)  6 La 3.53-3.54
Ru (0.6660, 0.6660, 0.0020)  6 La 2.84-2.86
La (0.2714, 0.2714, 0.1859)  3 Ru 2.84

Calculated values
Crystal system: trigonal

#b
The following is a PBE-GGA calculation of a geometry-optimized La2TlRu structure, from Alexandria via LeMat-Bulk.

Cell: 6.9214 6.9214 6.9214 Å, 150.27 137.91 52.38°
With the nearest neighbours (Å) after each atom.
Fractional positions:
La (0.9966, 0.9966, 0.0000)  4 Ru 3.06, 2 Tl 3.39
La (0.6933, 0.1933, 0.5000)  2 Ru 2.99
Tl (0.3109, 0.8109, 0.5000)  2 Ru 2.94
Ru (0.4993, 0.4993, 0.0000)  2 Tl 2.94, 6 La 2.99-3.06

Calculated values
Crystal system: orthorhombic

#c
The following is a PBE-GGA calculation of a geometry-optimized La2TlRu structure, from Alexandria via LeMat-Bulk.

Cell: 3.9832 4.8995 6.2720 Å, 66.97 90.00 90.00°
With the nearest neighbours (Å) after each atom.
Fractional positions:
Tl (0.5000, 0.5537, 0.7676)  2 Ru 2.94
Ru (0.0000, 0.7408, 0.3932)  1 La 2.39
La (0.5000, 0.2573, 0.3610)  4 Ru 3.16, 3 Tl 3.39-3.43
La (0.0000, 0.9482, 0.9783)  1 Ru 2.39

Calculated values
Crystal system: orthorhombic

#d
The following is a PBE-GGA calculation of a geometry-optimized La2TlRu structure, from Alexandria via LeMat-Bulk.

Cell: 5.3397 5.3397 5.3397 Å, 60.00 60.00 60.00°
With the nearest neighbours (Å) after each atom.
Fractional positions:
La (0.7500, 0.7500, 0.7500)  4 Ru 3.27, 4 Tl 3.27
Ru (0.0000, 0.0000, 0.0000)  8 La 3.27
La (0.2500, 0.2500, 0.2500)  4 Tl 3.27, 4 Ru 3.27
Tl (0.5000, 0.5000, 0.5000)  8 La 3.27

Calculated values
Crystal system: cubic

Which is most stable, and by how much? #c, by 64 meV/atom.

#a
The following is a PBE-GGA calculation of a geometry-optimized LaTl3Ru structure, from Alexandria via LeMat-Bulk.

Cell: 5.2270 5.2270 5.2270 Å, 90.00 90.00 90.00°
With the nearest neighbours (Å) after each atom.
Fractional positions:
Tl (0.5000, 0.0000, 0.0000)  2 Ru 2.61
La (0.5000, 0.5000, 0.5000)  12 Tl 3.70
Tl (0.0000, 0.0000, 0.5000)  2 Ru 2.61
Tl (0.0000, 0.5000, 0.0000)  2 Ru 2.61
Ru (0.0000, 0.0000, 0.0000)  6 Tl 2.61

Calculated values
Crystal system: cubic

#b
The following is a PBE-GGA calculation of a geometry-optimized LaTl3Ru structure, from Alexandria via LeMat-Bulk.

Cell: 6.0471 6.0471 6.0471 Å, 90.00 90.00 90.00°
With the nearest neighbours (Å) after each atom.
Fractional positions:
Ru (0.5000, 0.5000, 0.5000)  12 Tl 4.28
Tl (0.5000, 0.0000, 0.0000)  2 La 3.02
Tl (0.0000, 0.5000, 0.0000)  2 La 3.02
Tl (0.0000, 0.0000, 0.5000)  2 La 3.02
La (0.0000, 0.0000, 0.0000)  6 Tl 3.02

Calculated values
Crystal system: cubic

Which is most stable, and by how much? #a, by 1403 meV/atom.

#a
The following is a PBE-GGA calculation of a geometry-optimized La4TlRu structure, from Alexandria via LeMat-Bulk.

Cell: 6.3171 6.3171 6.3171 Å, 60.00 60.00 60.00°
With the nearest neighbours (Å) after each atom.
Fractional positions:
La (0.3758, 0.3758, 0.8726)  6 La 3.14-3.18
La (0.3758, 0.3758, 0.3758)  6 La 3.14-3.18
Ru (0.7500, 0.7500, 0.7500)  12 La 3.70, 4 Tl 3.87
La (0.3758, 0.8726, 0.3758)  6 La 3.14-3.18
Tl (0.0000, 0.0000, 0.0000)  12 La 3.71, 4 Ru 3.87
La (0.8726, 0.3758, 0.3758)  6 La 3.14-3.18

Calculated values
Crystal system: cubic

#b
The following is a PBE-GGA calculation of a geometry-optimized La4TlRu structure, from Alexandria via LeMat-Bulk.

Cell: 6.3432 8.4776 8.4776 Å, 115.50 102.50 102.50°
With the nearest neighbours (Å) after each atom.
Fractional positions:
La (0.5689, 0.2923, 0.9315)  2 Ru 3.13-3.21, 2 Tl 3.33-3.41
Tl (0.7500, 0.6206, 0.3794)  8 La 3.33-3.61
La (0.0689, 0.9315, 0.2923)  2 Ru 3.13-3.21, 2 Tl 3.33-3.41
La (0.9311, 0.0685, 0.7077)  2 Ru 3.13-3.21, 2 Tl 3.33-3.41
Ru (0.7500, 0.0021, 0.9979)  8 La 2.87-3.21, 2 Ru 3.17
La (0.8525, 0.6608, 0.8016)  2 Ru 2.87-2.95
La (0.4311, 0.7077, 0.0685)  2 Ru 3.13-3.21, 2 Tl 3.33-3.41
La (0.3525, 0.8016, 0.6608)  2 Ru 2.87-2.95
La (0.1475, 0.3392, 0.1984)  2 Ru 2.87-2.95
Ru (0.2500, 0.9979, 0.0021)  8 La 2.87-3.21, 2 Ru 3.17
Tl (0.2500, 0.3794, 0.6206)  8 La 3.33-3.61
La (0.6475, 0.1984, 0.3392)  2 Ru 2.87-2.95

Calculated values
Crystal system: monoclinic

#c
The following is a PBE-GGA calculation of a geometry-optimized La4TlRu structure, from Alexandria via LeMat-Bulk.

Cell: 7.0247 8.0478 8.9956 Å, 110.97 106.74 103.23°
With the nearest neighbours (Å) after each atom.
Fractional positions:
La (0.7090, 0.0568, 0.4166)  1 Ru 2.71
Tl (0.3674, 0.6174, 0.2349)  8 La 3.26-3.57
La (0.5558, 0.2741, 0.0872)  2 Ru 2.83-2.99
La (0.7925, 0.6403, 0.5834)  1 Ru 2.71
La (0.9686, 0.1870, 0.9128)  2 Ru 2.83-2.99
La (0.2075, 0.3597, 0.4166)  1 Ru 2.71
La (0.4442, 0.7259, 0.9128)  2 Ru 2.83-2.99
La (0.2910, 0.9432, 0.5834)  1 Ru 2.71
Ru (0.8316, 0.0816, 0.1633)  6 La 2.71-2.99
La (0.0314, 0.8130, 0.0872)  2 Ru 2.83-2.99
Ru (0.1684, 0.9184, 0.8367)  6 La 2.71-2.99
Tl (0.6326, 0.3826, 0.7651)  8 La 3.26-3.57

Calculated values
Crystal system: monoclinic

Which is most stable, and by how much? #b, by 73 meV/atom.